Here is an optimized crystal structure of Th2BCl from Alexandria via LeMat-Bulk. Energies are from PBE.

Structure (POSCAR):
```
Th2BCl
1.0
-2.462 0.776 -2.935
-3.846 0.191 0.673
-1.507 7.447 0.630
B Th Cl
1 2 1
Direct
0.000 0.000 0.000 B
0.731 0.731 0.807 Th
0.269 0.269 0.193 Th
0.500 0.500 0.500 Cl
```

Output
**Space-group type**: R-3m
**E**: -26.66 eV per formula unit
**Formation energy without anion corrections**: -0.82 eV/atom
**Density of states at the Fermi level**: 0.46 states/eV/atom
**Crystal system**: trigonal

---

Here is an optimized crystal structure of LiY3B from Alexandria via LeMat-Bulk. Energies are from PBE.

Structure (POSCAR):
```
LiY3B
1.0
-3.272 -1.067 3.806
-3.235 -2.116 -3.375
2.271 -4.552 0.676
Y B Li
3 1 1
Direct
0.000 0.500 0.000 Y
0.000 0.000 0.500 Y
0.500 0.000 0.000 Y
0.000 0.000 0.000 B
0.500 0.500 0.500 Li
```

Output
**Space-group type**: Pm-3m
**E**: -27.64 eV per formula unit
**Formation energy from the elements**: 0.070 eV/atom
**Density of states at the Fermi level**: 1.47 states/eV/atom
**E above lowest polymorph**: 0.0 meV per atom
**Crystal system**: cubic

---

Here is an optimized crystal structure of Er2Zn2Au from Alexandria via LeMat-Bulk. Energies are from PBE.

Structure (POSCAR):
```
Er2Zn2Au
1.0
-0.106 -4.008 1.848
4.754 -2.926 -0.800
2.702 1.734 9.190
Er Zn Au
4 4 2
Direct
0.683 0.297 0.337 Er
0.920 0.271 0.890 Er
0.317 0.703 0.663 Er
0.080 0.729 0.110 Er
0.074 0.291 0.561 Zn
0.636 0.838 0.889 Zn
0.926 0.709 0.439 Zn
0.364 0.162 0.111 Zn
0.606 0.121 0.668 Au
0.394 0.879 0.332 Au
```

Output
**Space-group type**: C2/m
**E**: -17.47 eV per formula unit
**Formation energy from the elements**: -0.503 eV/atom
**Density of states at the Fermi level**: 0.86 states/eV/atom
**Crystal system**: monoclinic

---

Here is an optimized crystal structure of GaPIrCl2 from Alexandria via LeMat-Bulk. Energies are from PBE.

Structure (POSCAR):
```
GaPIrCl2
1.0
-5.014 -0.344 -1.266
-1.167 -1.115 4.925
-0.510 4.300 0.853
P Ir Ga Cl
1 1 1 2
Direct
0.000 0.000 0.500 P
0.000 0.000 0.000 Ir
0.500 0.500 0.500 Ga
0.000 0.500 0.000 Cl
0.500 0.000 0.000 Cl
```

Output
**Space-group type**: P4/mmm
**E**: -20.71 eV per formula unit
**Formation energy without anion corrections**: 0.06 eV/atom
**Density of states at the Fermi level**: 0.37 states/eV/atom
**E above lowest polymorph**: 0.0 meV per atom
**Crystal system**: tetragonal

---

Here is an optimized crystal structure of CoReSb2 from Alexandria via LeMat-Bulk. Energies are from PBE.

Structure (POSCAR):
```
CoReSb2
1.0
-3.728 -2.042 1.341
-3.556 -1.913 -1.889
1.519 -5.180 -0.127
Co Re Sb
1 1 2
Direct
0.750 0.750 0.750 Co
0.250 0.250 0.250 Re
0.999 0.999 0.998 Sb
0.501 0.501 0.502 Sb
```

Output
**Space-group type**: C2/m
**E**: -25.68 eV per formula unit
**Formation energy without anion corrections**: 0.53 eV/atom
**Density of states at the Fermi level**: 0.97 states/eV/atom
**E above lowest polymorph**: 268.9 meV per atom
**Crystal system**: monoclinic

---

Here is an optimized crystal structure of Cd2H8Ir from Alexandria via LeMat-Bulk. Energies are from PBE.

Structure (POSCAR):
```
Cd2H8Ir
1.0
-2.278 -3.042 3.457
3.051 -3.703 2.315
1.240 0.833 5.113
Cd H Ir
2 8 1
Direct
0.653 0.798 0.798 Cd
0.347 0.202 0.202 Cd
0.224 0.659 0.144 H
0.224 0.144 0.659 H
0.776 0.341 0.856 H
0.415 0.517 0.517 H
0.776 0.856 0.341 H
0.014 0.808 0.808 H
0.986 0.192 0.192 H
0.585 0.483 0.483 H
0.000 0.000 0.000 Ir
```

Output
**Space-group type**: C2/m
**E**: -36.54 eV per formula unit
**Density of states at the Fermi level**: 0.17 states/eV/atom
**Crystal system**: monoclinic